(1)
9
Lattice="-1.6626 3.0628 -1.2387 -2.7522 -4.5451 -7.5441 -6.0276 -0.0793 7.8940" Properties=species:S:1:pos:R:3 comment="Pm6Y2Rh | Alexandria | PBE-GGA | relaxed" total_energy_ev_per_atom=-5.39 vol_a3_per_atom=33.35 delta_e_f_kj_per_mol_atoms=2.6 sg=Cmmm pbc="T T T"
Y -5.6588 -0.0021 2.0684
Y -4.7836 -1.5596 -2.9572
Pm -4.0129 -0.0536 5.2535
Rh 0.0000 0.0000 0.0000
Pm -2.9601 -1.9839 -6.4538
Pm -2.9351 -1.5465 0.1157
Pm -7.5073 -0.0152 -1.0045
Pm -4.7669 -4.5709 -4.9036
Pm -7.4823 0.4222 5.5650

=====

(2)
4
Lattice="3.5104 0.0000 0.0000 0.0000 3.5104 0.0000 0.0000 0.0000 8.7746" Properties=species:S:1:pos:R:3 comment="PmY2Rh | Alexandria | PBE-GGA | relaxed" total_energy_ev_per_atom=-6.66 vol_a3_per_atom=27.03 delta_e_f_kj_per_mol_atoms=-38.5 sg=P4/mmm relative_energy_mev_per_atom=93 pbc="T T T"
Y 0.0000 0.0000 1.6440
Pm 1.7552 1.7552 4.3873
Y 0.0000 0.0000 7.1307
Rh 1.7552 1.7552 0.0000

=====

(3)
10
Lattice="3.8071 0.0000 0.7522 1.9572 6.4986 0.1045 -0.0263 -0.4575 10.1438" Properties=species:S:1:pos:R:3 comment="Pm2YRh2 | Alexandria | PBE-GGA | relaxed" total_energy_ev_per_atom=-6.75 vol_a3_per_atom=25.06 delta_e_f_kj_per_mol_atoms=-59.9 sg=C2/m relative_energy_mev_per_atom=23 pbc="T T T"
Y 5.0645 6.0247 4.3984
Rh 2.1560 5.1498 9.1090
Rh 2.9904 4.2657 4.8858
Y 0.6735 0.0165 6.6020
Pm 3.7043 4.8703 1.2723
Pm 2.0337 1.1709 9.7281
Rh 2.7476 1.7755 6.1147
Rh 3.5820 0.8914 1.8915
Pm 1.3310 2.4298 3.2741
Pm 4.4070 3.6114 7.7263

=====

(4)
12
Lattice="4.7243 -0.0282 1.5744 0.0373 6.9410 0.0124 0.0001 -0.0141 7.8752" Properties=species:S:1:pos:R:3 comment="Pm5YRh6 | Alexandria | PBE-GGA | relaxed" total_energy_ev_per_atom=-6.90 vol_a3_per_atom=21.52 delta_e_f_kj_per_mol_atoms=-68.4 sg=Cmmm pbc="T T T"
Rh 0.8080 5.1994 5.5441
Pm 0.0187 3.4705 0.0062
Y 0.0000 0.0000 0.0000
Pm 3.1465 -0.0282 6.3090
Pm 1.5948 3.4564 3.1520
Rh 3.9537 1.6992 3.9179
Rh 0.7893 1.7133 5.5379
Pm 3.1669 3.4423 6.3100
Pm 1.5779 -0.0141 3.1405
Rh 2.3903 5.2195 0.7966
Rh 3.9724 5.1853 3.9242
Rh 2.3714 1.6933 0.7903

=====

(5)
10
Lattice="-3.8588 -0.7015 -0.2621 0.6448 -4.2405 1.8558 0.2133 5.3229 12.0886" Properties=species:S:1:pos:R:3 comment="PmY2Rh2 | Alexandria | PBE-GGA | relaxed" total_energy_ev_per_atom=-7.05 vol_a3_per_atom=24.00 delta_e_f_kj_per_mol_atoms=-55.0 sg=Cmcm relative_energy_mev_per_atom=0 pbc="T T T"
Pm -1.0871 2.5565 9.1616
Y -0.0176 -0.5421 1.7097
Rh -1.5541 -3.2173 2.0157
Rh -2.5990 -0.1897 9.2966
Rh -1.4466 3.5982 11.6667
Y -2.5826 0.9489 6.0079
Y -0.4180 -0.5680 7.6745
Y -2.9831 0.9230 11.9727
Rh -0.4016 0.5706 4.3858
Pm -1.9136 -2.1756 4.5208

=====

(6)
10
Lattice="3.5401 0.0000 0.0000 0.0000 3.5401 0.0000 0.0000 0.0000 17.1410" Properties=species:S:1:pos:R:3 comment="Pm4YRh5 | Alexandria | PBE-GGA | relaxed" total_energy_ev_per_atom=-6.93 vol_a3_per_atom=21.48 delta_e_f_kj_per_mol_atoms=-68.1 sg=P4/mmm pbc="T T T"
Rh 1.7700 1.7700 12.0291
Rh 1.7700 1.7700 5.1118
Pm 0.0000 0.0000 3.3870
Rh 1.7700 1.7700 1.6549
Rh 1.7700 1.7700 8.5705
Pm 0.0000 0.0000 10.2993
Pm 0.0000 0.0000 13.7539
Rh 1.7700 1.7700 15.4860
Pm 0.0000 0.0000 6.8416
Y 0.0000 0.0000 0.0000

=====

(7)
4
Lattice="5.0129 0.0000 0.0000 2.5065 4.3413 0.0000 2.5065 1.4471 4.0931" Properties=species:S:1:pos:R:3 comment="PmYZnRh | Alexandria | PBE-GGA | relaxed" total_energy_ev_per_atom=-5.51 vol_a3_per_atom=22.27 delta_e_f_kj_per_mol_atoms=-52.8 sg=F-43m relative_energy_mev_per_atom=14 pbc="T T T"
Y 7.5194 4.3413 3.0698
Zn 0.0000 0.0000 0.0000
Pm 2.5065 1.4471 1.0233
Rh 5.0129 2.8942 2.0465

=====

(8)
4
Lattice="3.9220 0.0000 0.0000 0.0000 4.4350 0.0000 -1.9610 0.0000 5.3570" Properties=species:S:1:pos:R:3 comment="PmYZnRh | Alexandria | PBE-GGA | relaxed" total_energy_ev_per_atom=-5.52 vol_a3_per_atom=23.30 delta_e_f_kj_per_mol_atoms=-54.2 sg=Amm2 relative_energy_mev_per_atom=0 pbc="T T T"
Rh 0.0000 0.0000 4.5687
Pm 0.0000 0.0000 1.5169
Zn 1.9610 2.2175 0.7549
Y 1.9610 2.2175 3.8735

=====

(9)
9
Lattice="-0.7184 -0.1001 4.2038 -0.3200 -4.9465 -2.3370 8.4813 -0.2351 1.4438" Properties=species:S:1:pos:R:3 comment="Pm3Zn2Rh4 | Alexandria | PBE-GGA | relaxed" total_energy_ev_per_atom=-5.76 vol_a3_per_atom=20.46 delta_e_f_kj_per_mol_atoms=-60.8 sg=C2/m pbc="T T T"
Rh 7.3581 -3.0507 1.1848
Pm 2.6934 -1.3584 2.5924
Pm 0.0000 0.0000 0.0000
Rh 5.2667 -1.0469 0.8751
Zn 6.0059 -2.0516 3.1420
Pm 4.7495 -3.9233 0.7182
Rh 0.0848 -2.2310 2.1259
Zn 1.4370 -3.2301 0.1686
Rh 2.1762 -4.2348 2.4355

=====

(10)
5
Lattice="-2.0010 -3.2033 2.2758 2.0437 -3.1747 -2.6716 2.8498 1.4169 4.5001" Properties=species:S:1:pos:R:3 comment="PmZn3Rh | Alexandria | PBE-GGA | relaxed" total_energy_ev_per_atom=-3.47 vol_a3_per_atom=20.41 delta_e_f_kj_per_mol_atoms=-27.4 sg=Amm2 relative_energy_mev_per_atom=140 pbc="T T T"
Pm -0.6510 -1.6171 1.4236
Zn 1.2839 -1.5989 -1.1216
Zn 2.0004 -0.0881 1.6349
Zn 1.9001 -3.2717 1.3376
Rh 1.9431 -1.7313 3.5437

=====

(11)
4
Lattice="-2.0874 3.9317 2.4282 -4.6236 1.6214 -1.3057 -3.9235 -0.7433 3.1249" Properties=species:S:1:pos:R:3 comment="Pm2ZnRh | Alexandria | PBE-GGA | relaxed" total_energy_ev_per_atom=-5.03 vol_a3_per_atom=23.05 delta_e_f_kj_per_mol_atoms=-48.3 sg=Fm-3m relative_energy_mev_per_atom=50 pbc="T T T"
Pm -2.6587 1.2024 1.0619
Rh -5.3173 2.4049 2.1237
Zn 0.0000 0.0000 0.0000
Pm -7.9760 3.6073 3.1856

=====

(12)
8
Lattice="3.6348 0.0000 0.0000 0.0000 3.6348 0.0000 0.0000 0.0000 14.4558" Properties=species:S:1:pos:R:3 comment="Pm4Zn3Rh | Alexandria | PBE-GGA | relaxed" total_energy_ev_per_atom=-4.19 vol_a3_per_atom=23.87 delta_e_f_kj_per_mol_atoms=-39.9 sg=P4/mmm relative_energy_mev_per_atom=0 pbc="T T T"
Pm 0.0000 0.0000 9.0552
Zn 1.8174 1.8174 10.8739
Pm 0.0000 0.0000 1.6616
Rh 1.8174 1.8174 0.0000
Zn 1.8174 1.8174 3.5819
Pm 0.0000 0.0000 5.4006
Pm 0.0000 0.0000 12.7942
Zn 1.8174 1.8174 7.2279